No. 1
## BaNa3Zn (PBE-GGA)

Data for a relaxed structure of BaNa3Zn.

Values from the calculation:
The energy of formation is 0.75 eV/atom. As for the energy above the most stable polymorph in this dataset: 636 meV/atom. For the total moment, the calculation gives 1.0 μB/cell. As for the space-group type: Pm-3m, No. 221. The volume comes out at 88.79 Å³/atom.

a b c (Å): 7.6286 7.6286 7.6286
angles (deg): 90.00 90.00 90.00
Last column: nearest neighbours and their distance in Å.
Sites, in units of the cell vectors:
Na 0.0000 0.5000 0.0000  2 Ba 3.81
Na 0.0000 0.0000 0.5000  2 Ba 3.81
Na 0.5000 0.0000 0.0000  2 Ba 3.81
Zn 0.5000 0.5000 0.5000  12 Na 5.39
Ba 0.0000 0.0000 0.0000  6 Na 3.81

No. 2
## NaMnIn2Cl6 (PBE-GGA)

Data for a relaxed structure of NaMnIn2Cl6.

Values from the calculation:
For the uncorrected formation energy, the calculation gives -1.0738 eV per atom. For the total moment, the calculation gives 7.9 μB/cell. As for the space-group type: P2_1/c, No. 14. The volume comes out at 27.14 Å³/atom.

a b c (Å): 6.9172 7.3238 10.7148
angles (deg): 90.00 89.49 90.00
Last column: nearest neighbours and their distance in Å.
Sites, in units of the cell vectors:
Na 0.5000 0.0000 0.0000  6 Cl 2.75-2.91
Na 0.0000 0.5000 0.5000  6 Cl 2.75-2.91
Mn 0.5000 0.0000 0.5000  4 Cl 2.30
Mn 0.0000 0.5000 0.0000  4 Cl 2.30
In 0.9951 0.9284 0.2485  5 Cl 3.02-3.38
In 0.4951 0.5716 0.7485  5 Cl 3.02-3.38
In 0.0049 0.0716 0.7515  5 Cl 3.02-3.38
In 0.5049 0.4284 0.2515  5 Cl 3.02-3.38
Cl 0.2827 0.6614 0.0249  1 Mn 2.30
Cl 0.7827 0.8386 0.5249  1 Mn 2.30
Cl 0.7173 0.3386 0.9751  1 Mn 2.30
Cl 0.2173 0.1614 0.4751  1 Mn 2.30
Cl 0.3363 0.7295 0.4715  1 Mn 2.30
Cl 0.8363 0.7705 0.9715  1 Mn 2.30
Cl 0.6637 0.2705 0.5285  1 Mn 2.30
Cl 0.1637 0.2295 0.0285  1 Mn 2.30
Cl 0.9310 0.5183 0.2475  1 Mn 2.69, 1 Na 2.75
Cl 0.4310 0.9817 0.7475  1 Mn 2.69, 1 Na 2.75
Cl 0.0690 0.4817 0.7525  1 Mn 2.69, 1 Na 2.75
Cl 0.5690 0.0183 0.2525  1 Mn 2.69, 1 Na 2.75

No. 3
## TbPuIn6 (PBE-GGA)

Data for a relaxed structure of TbPuIn6.

Values from the calculation:
The energy of formation is -0.33 eV/atom. As for the energy above the most stable polymorph in this dataset: 0 meV/atom. For the total moment, the calculation gives 5.7 μB/cell. As for the space-group type: P4/mmm, No. 123. The volume comes out at 25.14 Å³/atom.

a b c (Å): 4.6468 4.6468 9.3138
angles (deg): 90.00 90.00 90.00
Last column: nearest neighbours and their distance in Å.
Sites, in units of the cell vectors:
Tb 0.0000 0.0000 0.5000  12 In 3.29
Pu 0.0000 0.0000 0.0000  12 In 3.29
In 0.5000 0.5000 0.0000  8 In 3.29, 4 Pu 3.29
In 0.5000 0.5000 0.5000  4 Tb 3.29, 8 In 3.29
In 0.5000 0.0000 0.2494  2 Pu 3.29, 8 In 3.29, 2 Tb 3.29
In 0.5000 0.0000 0.7506  8 In 3.29, 2 Pu 3.29, 2 Tb 3.29
In 0.0000 0.5000 0.2494  2 Pu 3.29, 8 In 3.29, 2 Tb 3.29
In 0.0000 0.5000 0.7506  2 Pu 3.29, 8 In 3.29, 2 Tb 3.29

No. 4
## ZnCd3Cu8 (PBE-GGA)

Data for a relaxed structure of ZnCd3Cu8.

Values from the calculation:
The energy of formation is 0.02 eV/atom. For the total moment, the calculation gives 0.0 μB/cell. As for the space-group type: R3m, No. 160. The volume comes out at 14.64 Å³/atom.

a b c (Å): 5.0349 5.0349 8.5125
angles (deg): 72.80 72.80 60.00
Last column: nearest neighbours and their distance in Å.
Sites, in units of the cell vectors:
Zn 0.8736 0.8736 0.3792  12 Cu 2.83-2.94, 4 Cd 2.98-3.05
Cd 0.3752 0.3752 0.8744  12 Cu 2.92-2.95, 4 Cd 3.03-3.09
Cd 0.9977 0.9977 0.0068  12 Cu 2.91-2.97, 1 Zn 2.98, 3 Cd 3.09
Cd 0.5016 0.5016 0.4952  12 Cu 2.84-2.94, 1 Cd 3.03, 3 Zn 3.05
Cu 0.9360 0.4368 0.1903  6 Cu 2.45-2.52
Cu 0.4407 0.9380 0.6833  6 Cu 2.46-2.53
Cu 0.4368 0.4368 0.1903  6 Cu 2.45-2.52
Cu 0.9380 0.9380 0.6833  6 Cu 2.46-2.53
Cu 0.1878 0.1878 0.4365  6 Cu 2.45-2.46
Cu 0.6877 0.6877 0.9370  6 Cu 2.49
Cu 0.4368 0.9360 0.1903  6 Cu 2.45-2.52
Cu 0.9380 0.4407 0.6833  6 Cu 2.46-2.53

No. 5
## YSc3Au (PBE-GGA)

Data for a relaxed structure of YSc3Au.

Values from the calculation:
The energy of formation is 0.97 eV/atom. As for the energy above the most stable polymorph in this dataset: 980 meV/atom. For the total moment, the calculation gives 0.0 μB/cell. As for the space-group type: Pm-3m, No. 221. The volume comes out at 27.03 Å³/atom.

a b c (Å): 5.1320 5.1320 5.1320
angles (deg): 90.00 90.00 90.00
Last column: nearest neighbours and their distance in Å.
Sites, in units of the cell vectors:
Y 0.0000 0.0000 0.0000  6 Sc 2.57
Sc 0.0000 0.5000 0.0000  2 Y 2.57
Sc 0.0000 0.0000 0.5000  2 Y 2.57
Sc 0.5000 0.0000 0.0000  2 Y 2.57
Au 0.5000 0.5000 0.5000  12 Sc 3.63

No. 6
## Rb2Si2Au5 (PBE-GGA)

Data for a relaxed structure of Rb2Si2Au5.

Values from the calculation:
For the uncorrected formation energy, the calculation gives -0.2274 eV per atom. For the total moment, the calculation gives 0.0 μB/cell. As for the space-group type: C2/m, No. 12. The volume comes out at 30.69 Å³/atom.

a b c (Å): 4.5797 7.0085 9.2570
angles (deg): 99.81 90.00 109.07
Last column: nearest neighbours and their distance in Å.
Sites, in units of the cell vectors:
Rb 0.3928 0.7857 0.7103  7 Au 3.62-3.83, 3 Si 3.87-4.05
Rb 0.6072 0.2143 0.2897  7 Au 3.62-3.83, 3 Si 3.87-4.05
Si 0.1403 0.2806 0.8658  5 Au 2.37-2.60
Si 0.8597 0.7194 0.1342  5 Au 2.37-2.60
Au 0.2988 0.5976 0.0775  3 Si 2.45-2.60
Au 0.7012 0.4024 0.9225  3 Si 2.45-2.60
Au 0.0813 0.1626 0.6089  1 Si 2.37
Au 0.9187 0.8374 0.3911  1 Si 2.37
Au 0.0000 0.0000 0.0000  2 Si 2.41

No. 7
## Ac3Pu2Ru4 (PBE-GGA)

Data for a relaxed structure of Ac3Pu2Ru4.

Values from the calculation:
The energy of formation is -0.22 eV/atom. For the total moment, the calculation gives 8.0 μB/cell. As for the space-group type: C2/m, No. 12. The volume comes out at 25.50 Å³/atom.

a b c (Å): 4.2711 6.3053 9.2849
angles (deg): 101.95 90.00 109.80
Last column: nearest neighbours and their distance in Å.
Sites, in units of the cell vectors:
Ac 0.3794 0.7588 0.6151  6 Ru 3.22-3.51, 1 Pu 3.55
Ac 0.0000 0.0000 0.0000  8 Ru 3.37-3.69
Ac 0.6206 0.2412 0.3849  6 Ru 3.22-3.51, 1 Pu 3.55
Pu 0.3222 0.6445 0.2137  5 Ru 2.58-2.76
Pu 0.6778 0.3555 0.7863  5 Ru 2.58-2.76
Ru 0.7236 0.4472 0.0912  3 Pu 2.58-2.76, 2 Ru 2.88
Ru 0.0895 0.1791 0.6432  2 Pu 2.61
Ru 0.9105 0.8209 0.3568  2 Pu 2.61
Ru 0.2764 0.5528 0.9088  3 Pu 2.58-2.76, 2 Ru 2.88

No. 8
## Nd6YEr2 (PBE-GGA)

Data for a relaxed structure of Nd6YEr2.

Values from the calculation:
The energy of formation is 0.13 eV/atom. As for the energy above the most stable polymorph in this dataset: 0 meV/atom. For the total moment, the calculation gives 0.0 μB/cell. As for the space-group type: Cmmm, No. 65. The volume comes out at 34.10 Å³/atom.

a b c (Å): 10.0403 10.0403 3.6732
angles (deg): 90.00 90.00 124.03
Last column: nearest neighbours and their distance in Å.
Sites, in units of the cell vectors:
Nd 0.4889 0.1584 0.0000  6 Nd 3.31-3.67, 2 Er 3.57
Nd 0.1584 0.4889 0.0000  6 Nd 3.31-3.67, 2 Er 3.57
Nd 0.5111 0.8416 0.0000  6 Nd 3.31-3.67, 2 Er 3.57
Nd 0.3178 0.3178 0.5000  7 Nd 3.43-3.67, 2 Y 3.51
Nd 0.8416 0.5111 0.0000  6 Nd 3.31-3.67, 2 Er 3.57
Nd 0.6822 0.6822 0.5000  7 Nd 3.43-3.67, 2 Y 3.51
Y 0.0000 0.0000 0.0000  4 Nd 3.51, 4 Er 3.65, 2 Y 3.67
Er 0.8222 0.1778 0.5000  8 Nd 3.57-3.73, 2 Y 3.65, 2 Er 3.67
Er 0.1778 0.8222 0.5000  8 Nd 3.57-3.73, 2 Y 3.65, 2 Er 3.67